# NiAgSn2N | Alexandria via LeMat-Bulk | SCAN | PBEsol geometry
data_NiAgSn2N
_symmetry_space_group_name_H-M 'P 4/m m m'
_symmetry_Int_Tables_number 123
_symmetry_space_group_name_Hall '-P 4 2'
_cell_length_a 5.2501
_cell_length_b 5.2501
_cell_length_c 3.3292
_cell_angle_alpha 90.00
_cell_angle_beta 90.00
_cell_angle_gamma 90.00
loop_
_atom_site_label
_atom_site_fract_x
_atom_site_fract_y
_atom_site_fract_z
_atom_site_occupancy
Ni1 0.0000 0.0000 0.0000 1
Ag1 0.5000 0.5000 0.5000 1
Sn1 0.0000 0.5000 0.0000 1
N1 0.0000 0.0000 0.5000 1
# Total magnetization in μB per formula unit: 0.0
# ρ in Mg/m³: 7.6
# Energy in eV/atom: -25.384
# Raw formation energy in kJ per mole of atoms: 33.8



# RbAgN2O | Alexandria via LeMat-Bulk | SCAN | PBEsol geometry
data_RbAgN2O
_symmetry_space_group_name_H-M 'P 4/m m m'
_symmetry_Int_Tables_number 123
_symmetry_space_group_name_Hall '-P 4 2'
_cell_length_a 4.1957
_cell_length_b 4.1957
_cell_length_c 4.3283
_cell_angle_alpha 90.00
_cell_angle_beta 90.00
_cell_angle_gamma 90.00
loop_
_atom_site_label
_atom_site_fract_x
_atom_site_fract_y
_atom_site_fract_z
_atom_site_occupancy
Rb1 0.0000 0.0000 0.0000 1
Ag1 0.5000 0.5000 0.5000 1
N1 0.0000 0.5000 0.5000 1
O1 0.5000 0.5000 0.0000 1
# Total magnetization in μB per formula unit: 4.0
# ρ in Mg/m³: 5.2
# Energy in eV/atom: -14.319
# Raw formation energy in kJ per mole of atoms: 102.7